No. 1
An optimized crystal structure of TiMnFe2H, computed with GGA-PBE.

Cell: 3.908 3.908 3.395 Å, 90.00 90.00 90.00°
Space group P4/mmm (No. 123)
Asymmetric unit:
Ti (0.000, 0.000, 0.000)
Mn (0.500, 0.500, 0.000)
Fe (0.000, 0.500, 0.500)
H (0.500, 0.500, 0.500)

---

No. 2
An optimized crystal structure of Cr3CdTc, computed with GGA-PBE.

Cell: 4.930 4.930 4.930 Å, 90.00 90.00 90.00°
Space group Pm-3m (No. 221)
Asymmetric unit:
Cr (0.000, 0.000, 0.500)
Cd (0.000, 0.000, 0.000)
Tc (0.500, 0.500, 0.500)

---

No. 3
An optimized crystal structure of ZrScBi, computed with GGA-PBE.

Cell: 5.1283 5.1283 3.2791 Å, 90.00 90.00 120.00°
Space group P3m1 (No. 156)
Asymmetric unit:
Zr (0.0000, 0.0000, 0.0000)
Sc (0.3333, 0.6667, 0.5387)
Bi (0.6667, 0.3333, 0.2490)

---

No. 4
An optimized crystal structure of In2Hg, computed with GGA-PBE.

Cell: 4.556 4.556 4.272 Å, 90.00 90.00 90.00°
Space group P4/mmm (No. 123)
Asymmetric unit:
In (0.000, 0.500, 0.000)
Hg (0.000, 0.000, 0.500)

---

No. 5
An optimized crystal structure of TbSmY2Er5, computed with GGA-PBE.

Cell: 5.590 19.660 10.572 Å, 90.00 90.00 90.00°
Space group Cmc2_1 (No. 36)
Asymmetric unit:
Tb (0.000, 0.202, 0.000)
Sm (0.000, 0.416, 0.444)
Y (0.000, 0.110, 0.724)
Y (0.000, 0.113, 0.309)
Er (0.000, 0.019, 0.015)
Er (0.000, 0.283, 0.298)
Er (0.000, 0.299, 0.697)
Er (0.000, 0.391, 0.011)
Er (0.000, 0.479, 0.726)

---

No. 6
An optimized crystal structure of CeDy3Tm6, computed with GGA-PBE.

Cell: 14.212 6.420 8.759 Å, 90.00 124.83 90.00°
Space group C2/m (No. 12)
Asymmetric unit:
Ce (0.000, 0.000, 0.000)
Dy (0.000, 0.000, 0.500)
Dy (0.006, 0.500, 0.235)
Tm (0.208, 0.000, 0.453)
Tm (0.248, 0.255, 0.177)

---

No. 7
An optimized crystal structure of CaSm3Ga4, computed with GGA-PBE.

Cell: 5.163 5.163 7.304 Å, 90.00 90.00 90.00°
Space group P4/mmm (No. 123)
Asymmetric unit:
Ca (0.000, 0.000, 0.000)
Sm (0.000, 0.000, 0.500)
Sm (0.500, 0.500, 0.000)
Sm (0.500, 0.500, 0.500)
Ga (0.000, 0.500, 0.249)

---

No. 8
An optimized crystal structure of Zr2AsOs, computed with GGA-PBE.

Cell: 3.325 3.325 6.685 Å, 90.00 90.00 90.00°
Space group P4/mmm (No. 123)
Asymmetric unit:
Zr (0.000, 0.000, 0.246)
As (0.500, 0.500, 0.500)
Os (0.500, 0.500, 0.000)

---

No. 9
An optimized crystal structure of RbAl3Ge3, computed with GGA-PBE.

Cell: 7.0050 7.0050 27.7638 Å, 90.00 90.00 120.00°
Space group R-3 (No. 148, hexagonal axes)
Asymmetric unit:
Rb (0.0000, 0.0000, 0.1667)
Al (0.0021, 0.3389, 0.3603)
Ge (0.0009, 0.3273, 0.5977)

---

No. 10
An optimized crystal structure of Pm5NdTm3, computed with GGA-PBE.

Cell: 9.140 9.140 14.598 Å, 90.00 90.00 90.00°
Space group I4/mcm (No. 140)
Asymmetric unit:
Pm (0.000, 0.000, 0.000)
Pm (0.200, 0.300, 0.132)
Nd (0.000, 0.500, 0.250)
Tm (0.000, 0.000, 0.250)
Tm (0.112, 0.388, 0.500)

---

No. 11
An optimized crystal structure of YPuRu, computed with GGA-PBE.

Cell: 4.7209 4.7209 3.4587 Å, 90.00 90.00 120.00°
Space group P-6m2 (No. 187)
Asymmetric unit:
Y (0.0000, 0.0000, 0.0000)
Pu (0.3333, 0.6667, 0.5000)
Ru (0.6667, 0.3333, 0.5000)

---

No. 12
An optimized crystal structure of Li2OsF8, computed with GGA-PBE.

Computed properties:
**Formation energy without anion corrections**: -2.01 eV/atom

Cell: 5.182 5.252 5.753 Å, 117.11 108.11 90.53°
Space group P-1 (No. 2)
Asymmetric unit:
Li (0.175, 0.227, 0.457)
Os (0.500, 0.000, 0.000)
F (0.200, 0.082, 0.736)
F (0.200, 0.649, 0.738)
F (0.340, 0.325, 0.216)
F (0.341, 0.890, 0.218)

---

No. 13
An optimized crystal structure of Li4Mg4Cd, computed with GGA-PBE.

Cell: 4.914 5.652 7.434 Å, 69.68 72.01 89.42°
Space group P-1 (No. 2)
Asymmetric unit:
Li (0.060, 0.280, 0.382)
Li (0.390, 0.949, 0.716)
Mg (0.164, 0.832, 0.177)
Mg (0.281, 0.401, 0.936)
Cd (0.500, 0.500, 0.500)

---

No. 14
An optimized crystal structure of MgSiNi, computed with GGA-PBE.

Computed properties:
**Formation energy without anion corrections**: -0.10 eV/atom

Cell: 2.9048 2.9048 6.0612 Å, 90.00 90.00 120.00°
Space group P3m1 (No. 156)
Asymmetric unit:
Mg (0.0000, 0.0000, 0.0000)
Si (0.6667, 0.3333, 0.6120)
Ni (0.3333, 0.6667, 0.3492)

---

No. 15
An optimized crystal structure of PAuCS2, computed with GGA-PBE.

Computed properties:
**Formation energy without anion corrections**: 2.28 eV/atom

Cell: 4.922 4.922 4.730 Å, 90.00 90.00 90.00°
Space group P4/mmm (No. 123)
Asymmetric unit:
P (0.000, 0.000, 0.000)
Au (0.000, 0.000, 0.500)
C (0.500, 0.500, 0.000)
S (0.000, 0.500, 0.500)

---

No. 16
An optimized crystal structure of La3DyEr5, computed with GGA-PBE.

Cell: 12.262 8.266 13.024 Å, 90.00 105.48 90.00°
Space group C2/m (No. 12)
Asymmetric unit:
La (0.000, 0.000, 0.000)
La (0.000, 0.000, 0.500)
La (0.146, 0.500, 0.224)
La (0.234, 0.500, 0.482)
Dy (0.160, 0.000, 0.248)
Er (0.000, 0.321, 0.000)
Er (0.050, 0.500, 0.624)
Er (0.104, 0.200, 0.787)
Er (0.237, 0.500, 0.980)

---

No. 17
An optimized crystal structure of NaSn3, computed with GGA-PBE.

Cell: 6.7339 6.7339 5.4433 Å, 90.00 90.00 120.00°
Space group P6_3/mmc (No. 194)
Asymmetric unit:
Na (0.3333, 0.6667, 0.2500)
Sn (0.1630, 0.3260, 0.7500)

---

No. 18
An optimized crystal structure of YSi2Os, computed with GGA-PBE.

Computed properties:
**Formation energy without anion corrections**: -0.65 eV/atom

Cell: 7.072 4.093 5.435 Å, 90.00 115.80 90.00°
Space group C2/m (No. 12)
Asymmetric unit:
Y (0.000, 0.000, 0.000)
Si (0.213, 0.000, 0.639)
Os (0.000, 0.500, 0.500)

---

No. 19
An optimized crystal structure of LiDy3Ho4S8, computed with GGA-PBE.

Computed properties:
**Formation energy without anion corrections**: -1.96 eV/atom

Cell: 7.7615 7.7615 19.0051 Å, 90.00 90.00 120.00°
Space group R-3m (No. 166, hexagonal axes)
Asymmetric unit:
Li (0.0000, 0.0000, 0.0000)
Dy (0.0000, 0.5000, 0.0000)
Ho (0.0000, 0.0000, 0.5000)
Ho (0.0000, 0.5000, 0.5000)
S (0.0000, 0.0000, 0.2493)
S (0.0064, 0.5032, 0.7490)

---

No. 20
An optimized crystal structure of YTm3Ir, computed with GGA-PBE.

Cell: 7.510 6.487 6.106 Å, 90.00 90.00 90.00°
Space group Pmn2_1 (No. 31)
Asymmetric unit:
Y (0.000, 0.151, 0.000)
Tm (0.000, 0.848, 0.493)
Tm (0.250, 0.314, 0.497)
Ir (0.000, 0.504, 0.745)

---

No. 21
An optimized crystal structure of LaPr6Nd3, computed with GGA-PBE.

Cell: 10.2072 10.2072 12.0911 Å, 90.00 90.00 120.00°
Space group R3 (No. 146, hexagonal axes)
Asymmetric unit:
La (0.0000, 0.0000, 0.0000)
Pr (0.0001, 0.3259, 0.0004)
Pr (0.0001, 0.6761, 0.5005)
Nd (0.0000, 0.0000, 0.2505)
Nd (0.0000, 0.0000, 0.5000)
Nd (0.0000, 0.0000, 0.7494)

---

No. 22
An optimized crystal structure of BeCoPd, computed with GGA-PBE.

Cell: 2.694 2.694 9.253 Å, 90.00 90.00 90.00°
Space group I4mm (No. 107)
Asymmetric unit:
Be (0.000, 0.000, 0.000)
Co (0.000, 0.000, 0.637)
Pd (0.000, 0.000, 0.340)

---

No. 23
An optimized crystal structure of Sm2PuOs2, computed with GGA-PBE.

Cell: 10.019 5.899 8.044 Å, 90.00 101.45 90.00°
Space group C2/c (No. 15)
Asymmetric unit:
Sm (0.150, 0.133, 0.150)
Pu (0.000, 0.372, 0.750)
Os (0.136, 0.361, 0.508)

---

No. 24
An optimized crystal structure of CsAg5, computed with GGA-PBE.

Cell: 5.636 16.239 3.203 Å, 90.00 90.00 90.00°
Space group Cmmm (No. 65)
Asymmetric unit:
Cs (0.000, 0.000, 0.000)
Ag (0.000, 0.210, 0.500)
Ag (0.000, 0.353, 0.000)
Ag (0.000, 0.500, 0.500)

---

Summary of total energy in eV/atom
-7.574 -5.937 -6.310 -1.833 -4.854 -4.312 -4.067 -8.762 -3.735 -4.358 -10.041 -4.741 -1.753 -4.370 -2.952 -4.253 -3.427 -7.789 -6.146 -6.112 -4.577 -5.541 -9.407 -2.224
(order as listed above)
Summary of calculated volume in Å³/atom
10.4 24.0 24.9 29.6 32.3 32.8 24.3 18.5 28.1 33.9 22.3 11.8 20.3 14.8 22.9 35.3 26.7 17.7 20.7 29.7 36.4 11.2 23.3 24.4
(order as listed above)